This record from the Alexandria database describes a relaxed DyInPb crystal. The functional is PBE.

a = 6.3445 Å, b = 6.3445 Å, c = 6.3445 Å
α = 145.02°, β = 145.02°, γ = 50.30°
Closest atoms and distances in Å follow each position.
Fractional coordinates of all 3 atoms:
Dy 0.0000 0.0000 0.0000  4 In 3.31, 5 Pb 3.42-3.64
In 0.6665 0.6665 0.0000  4 Pb 3.20, 4 Dy 3.31
Pb 0.3173 0.3173 0.0000  4 In 3.20, 4 Dy 3.42

Output
space group	I4mm
final energy	-0.143	hartree per atom
size of the total moment	0.00	μB per formula unit
DFT formation energy	-0.64	eV per formula unit
density	9.6	g/cm³

This record from the Alexandria database describes a relaxed Dy3InPb3 crystal. The functional is PBE.

a = 8.9349 Å, b = 8.9349 Å, c = 5.8116 Å
α = 90.00°, β = 90.00°, γ = 120.00°
Closest atoms and distances in Å follow each position.
Fractional coordinates of all 14 atoms:
Dy 0.0922 0.4505 0.2500  5 Pb 3.17-3.44, 1 In 3.40
Dy 0.3583 0.9078 0.2500  5 Pb 3.17-3.44, 1 In 3.40
Dy 0.4505 0.3583 0.7500  5 Pb 3.17-3.44, 1 In 3.40
Dy 0.5495 0.6417 0.2500  5 Pb 3.17-3.44, 1 In 3.40
Dy 0.6417 0.0922 0.7500  5 Pb 3.17-3.44, 1 In 3.40
Dy 0.9078 0.5495 0.7500  5 Pb 3.17-3.44, 1 In 3.40
In 0.3333 0.6667 0.7500  3 Pb 3.19, 9 Dy 3.40-3.56
In 0.6667 0.3333 0.2500  3 Pb 3.19, 9 Dy 3.40-3.56
Pb 0.0583 0.2629 0.7500  5 Dy 3.17-3.44, 1 In 3.19
Pb 0.2045 0.9417 0.7500  5 Dy 3.17-3.44, 1 In 3.19
Pb 0.2629 0.2045 0.2500  5 Dy 3.17-3.44, 1 In 3.19
Pb 0.7371 0.7955 0.7500  5 Dy 3.17-3.44, 1 In 3.19
Pb 0.7955 0.0583 0.2500  5 Dy 3.17-3.44, 1 In 3.19
Pb 0.9417 0.7371 0.2500  5 Dy 3.17-3.44, 1 In 3.19

Output
space group	P6_3/m
final energy	-0.156	hartree per atom
size of the total moment	0.00	μB per formula unit
DFT formation energy	-2.05	eV per formula unit
density	10.1	g/cm³

This record from the Alexandria database describes a relaxed Dy2InPb2 crystal. The functional is PBE.

a = 5.0884 Å, b = 17.3486 Å, c = 3.5818 Å
α = 90.00°, β = 90.00°, γ = 90.00°
Closest atoms and distances in Å follow each position.
Fractional coordinates of all 10 atoms:
Dy 0.0013 0.1807 0.0000  1 In 3.13, 4 Pb 3.20, 2 Dy 3.50
Dy 0.4987 0.6807 0.0000  1 In 3.13, 4 Pb 3.20, 2 Dy 3.50
Dy 0.5013 0.3193 0.0000  1 In 3.13, 4 Pb 3.20, 2 Dy 3.50
Dy 0.9987 0.8193 0.0000  1 In 3.13, 4 Pb 3.20, 2 Dy 3.50
In 0.0000 0.0000 0.0000  2 Dy 3.13
In 0.5000 0.5000 0.0000  2 Dy 3.13
Pb 0.0012 0.3625 0.5000  4 Dy 3.20, 2 Pb 3.58
Pb 0.4988 0.8625 0.5000  4 Dy 3.20, 2 Pb 3.58
Pb 0.5012 0.1375 0.5000  4 Dy 3.20, 2 Pb 3.58
Pb 0.9988 0.6375 0.5000  4 Dy 3.20, 2 Pb 3.58

Output
space group	Pbam
final energy	-0.148	hartree per atom
size of the total moment	0.00	μB per formula unit
DFT formation energy	-0.80	eV per formula unit
density	9.0	g/cm³

This record from the Alexandria database describes a relaxed Dy2InPb crystal. The functional is PBE.

a = 4.9930 Å, b = 4.9930 Å, c = 4.3835 Å
α = 90.00°, β = 90.00°, γ = 90.00°
Closest atoms and distances in Å follow each position.
Fractional coordinates of all 4 atoms:
Dy 0.0000 0.5000 0.0000  4 In 3.32, 4 Pb 3.32, 4 Dy 3.53
Dy 0.5000 0.0000 0.0000  4 In 3.32, 4 Pb 3.32, 4 Dy 3.53
In 0.0000 0.0000 0.5000  8 Dy 3.32, 4 Pb 3.53
Pb 0.5000 0.5000 0.5000  8 Dy 3.32, 4 In 3.53

Output
space group	P4/mmm
final energy	-0.160	hartree per atom
size of the total moment	0.00	μB per formula unit
DFT formation energy	-1.78	eV per formula unit
density	9.8	g/cm³

This record from the Alexandria database describes a relaxed Dy6In4Pb7 crystal. The functional is PBE.

a = 8.6815 Å, b = 8.6815 Å, c = 8.6815 Å
α = 109.47°, β = 109.47°, γ = 109.47°
Closest atoms and distances in Å follow each position.
Fractional coordinates of all 17 atoms:
Dy 0.0000 0.2915 0.2915  5 Pb 2.92-3.26
Dy 0.0000 0.7085 0.7085  5 Pb 2.92-3.26
Dy 0.2915 0.0000 0.2915  5 Pb 2.92-3.26
Dy 0.2915 0.2915 0.0000  5 Pb 2.92-3.26
Dy 0.7085 0.0000 0.7085  5 Pb 2.92-3.26
Dy 0.7085 0.7085 0.0000  5 Pb 2.92-3.26
In 0.0000 0.0000 0.5000  6 Pb 3.54, 6 Dy 3.57
In 0.0000 0.5000 0.0000  6 Pb 3.54, 6 Dy 3.57
In 0.5000 0.0000 0.0000  6 Pb 3.54, 6 Dy 3.57
In 0.5000 0.5000 0.5000  6 Pb 3.54, 6 Dy 3.57
Pb 0.0000 0.0000 0.0000  6 Dy 2.92
Pb 0.2500 0.5000 0.7500  4 Dy 3.26, 4 Pb 3.54, 4 In 3.54
Pb 0.2500 0.7500 0.5000  4 Dy 3.26, 4 Pb 3.54, 4 In 3.54
Pb 0.5000 0.2500 0.7500  4 Dy 3.26, 4 Pb 3.54, 4 In 3.54
Pb 0.5000 0.7500 0.2500  4 Dy 3.26, 4 Pb 3.54, 4 In 3.54
Pb 0.7500 0.2500 0.5000  4 Dy 3.26, 4 In 3.54, 4 Pb 3.54
Pb 0.7500 0.5000 0.2500  4 Dy 3.26, 4 Pb 3.54, 4 In 3.54

Output
space group	Im-3m
final energy	-0.146	hartree per atom
size of the total moment	0.00	μB per formula unit
DFT formation energy	-2.81	eV per formula unit
density	9.5	g/cm³

This record from the Alexandria database describes a relaxed Dy2InPb4 crystal. The functional is PBE.

a = 6.6662 Å, b = 6.6662 Å, c = 4.7084 Å
α = 90.00°, β = 90.00°, γ = 95.83°
Closest atoms and distances in Å follow each position.
Fractional coordinates of all 7 atoms:
Dy 0.2262 0.7738 0.0000  2 In 3.25, 8 Pb 3.25-3.40
Dy 0.7738 0.2262 0.0000  2 In 3.25, 8 Pb 3.25-3.40
In 0.0000 0.0000 0.5000  4 Dy 3.25, 8 Pb 3.33-3.47
Pb 0.0000 0.5000 0.5000  4 Dy 3.25, 2 In 3.33, 4 Pb 3.43
Pb 0.2860 0.2860 0.0000  4 Dy 3.32-3.40, 4 Pb 3.43, 2 In 3.47
Pb 0.5000 0.0000 0.5000  4 Dy 3.25, 2 In 3.33, 4 Pb 3.43
Pb 0.7140 0.7140 0.0000  4 Dy 3.32-3.40, 4 Pb 3.43, 2 In 3.47

Output
space group	Cmmm
final energy	-0.151	hartree per atom
size of the total moment	0.00	μB per formula unit
DFT formation energy	-1.99	eV per formula unit
density	10.1	g/cm³

This record from the Alexandria database describes a relaxed DyIn4Pb crystal. The functional is PBE.

a = 6.1122 Å, b = 6.1122 Å, c = 6.1122 Å
α = 60.00°, β = 60.00°, γ = 60.00°
Closest atoms and distances in Å follow each position.
Fractional coordinates of all 6 atoms:
Dy 0.0000 0.0000 0.0000  12 In 3.58, 4 Pb 3.74
In 0.1244 0.6252 0.6252  6 In 3.05-3.06
In 0.6252 0.1244 0.6252  6 In 3.05-3.06
In 0.6252 0.6252 0.1244  6 In 3.05-3.06
In 0.6252 0.6252 0.6252  6 In 3.05-3.06
Pb 0.2500 0.2500 0.2500  12 In 3.58, 4 Dy 3.74

Output
space group	F-43m
final energy	-0.121	hartree per atom
size of the total moment	0.00	μB per formula unit
DFT formation energy	-0.52	eV per formula unit
density	8.5	g/cm³

This record from the Alexandria database describes a relaxed Dy2InPb2 crystal. The functional is PBE.

a = 12.0358 Å, b = 10.5167 Å, c = 6.8309 Å
α = 85.05°, β = 60.52°, γ = 34.43°
Closest atoms and distances in Å follow each position.
Fractional coordinates of all 10 atoms:
Dy 0.0235 0.7265 0.0235  2 In 3.13, 2 Pb 3.18
Dy 0.2735 0.9765 0.2735  2 In 3.13, 2 Pb 3.18
Dy 0.7265 0.0235 0.7265  2 In 3.13, 2 Pb 3.18
Dy 0.9765 0.2735 0.9765  2 In 3.13, 2 Pb 3.18
In 0.3750 0.3750 0.3750  4 Pb 3.07, 4 Dy 3.13
In 0.6250 0.6250 0.6250  4 Pb 3.07, 4 Dy 3.13
Pb 0.0000 0.5000 0.5000  2 In 3.07, 2 Dy 3.18, 2 Pb 3.42
Pb 0.5000 0.0000 0.5000  2 In 3.07, 2 Dy 3.18, 2 Pb 3.42
Pb 0.5000 0.5000 0.0000  2 In 3.07, 2 Dy 3.18, 2 Pb 3.42
Pb 0.5000 0.5000 0.5000  2 In 3.07, 2 Dy 3.18, 2 Pb 3.42

Output
space group	Fddd
final energy	-0.142	hartree per atom
size of the total moment	0.00	μB per formula unit
DFT formation energy	-0.02	eV per formula unit
density	8.8	g/cm³

This record from the Alexandria database describes a relaxed Dy5In12Pb3 crystal. The functional is PBE.

a = 15.5515 Å, b = 15.5515 Å, c = 15.5515 Å
α = 109.47°, β = 109.47°, γ = 109.47°
Closest atoms and distances in Å follow each position.
Fractional coordinates of all 80 atoms:
Dy 0.0000 0.0000 0.0000  6 In 3.07
Dy 0.0000 0.0000 0.5000  6 In 3.07
Dy 0.0000 0.5000 0.0000  6 In 3.07
Dy 0.0000 0.5000 0.5000  6 In 3.07
Dy 0.1250 0.7500 0.8750  4 In 3.14
Dy 0.1250 0.8750 0.2500  4 In 3.14
Dy 0.2500 0.1250 0.8750  4 In 3.14
Dy 0.2500 0.6250 0.3750  4 In 3.14
Dy 0.3750 0.2500 0.6250  4 In 3.14
Dy 0.3750 0.6250 0.7500  4 In 3.14
Dy 0.5000 0.0000 0.0000  6 In 3.07
Dy 0.5000 0.0000 0.5000  6 In 3.07
Dy 0.5000 0.5000 0.0000  6 In 3.07
Dy 0.5000 0.5000 0.5000  6 In 3.07
Dy 0.6250 0.3750 0.2500  4 In 3.14
Dy 0.6250 0.7500 0.3750  4 In 3.14
Dy 0.7500 0.3750 0.6250  4 In 3.14
Dy 0.7500 0.8750 0.1250  4 In 3.14
Dy 0.8750 0.1250 0.7500  4 In 3.14
Dy 0.8750 0.2500 0.1250  4 In 3.14
In 0.0703 0.6456 0.4142  2 Dy 3.07-3.14, 2 Pb 3.08-3.28, 3 In 3.09-3.44
In 0.0703 0.9247 0.6561  2 Dy 3.07-3.14, 2 Pb 3.08-3.28, 3 In 3.09-3.44
In 0.0753 0.2314 0.1456  2 Dy 3.07-3.14, 2 Pb 3.08-3.28, 3 In 3.09-3.44
In 0.0753 0.3439 0.9297  2 Dy 3.07-3.14, 2 Pb 3.08-3.28, 3 In 3.09-3.44
In 0.0858 0.7314 0.6561  2 Dy 3.07-3.14, 2 Pb 3.08-3.28, 3 In 3.09-3.44
In 0.0858 0.8544 0.4297  2 Dy 3.07-3.14, 2 Pb 3.08-3.28, 3 In 3.09-3.44
In 0.1456 0.0753 0.2314  2 Dy 3.07-3.14, 2 Pb 3.08-3.28, 3 In 3.09-3.44
In 0.1456 0.5703 0.9142  2 Dy 3.07-3.14, 2 Pb 3.08-3.28, 3 In 3.09-3.44
In 0.1561 0.2314 0.5858  2 Dy 3.07-3.14, 2 Pb 3.08-3.28, 3 In 3.09-3.44
In 0.1561 0.4247 0.5703  2 Dy 3.07-3.14, 2 Pb 3.08-3.28, 3 In 3.09-3.44
In 0.2314 0.1456 0.0753  2 Dy 3.07-3.14, 2 Pb 3.08-3.28, 3 In 3.09-3.44
In 0.2314 0.5858 0.1561  2 Dy 3.07-3.14, 2 Pb 3.08-3.28, 3 In 3.09-3.44
In 0.2686 0.3439 0.9142  2 Dy 3.07-3.14, 2 Pb 3.08-3.28, 3 In 3.09-3.44
In 0.2686 0.4247 0.3544  2 Dy 3.07-3.14, 2 Pb 3.08-3.28, 3 In 3.09-3.44
In 0.3439 0.9142 0.2686  2 Dy 3.07-3.14, 2 Pb 3.08-3.28, 3 In 3.09-3.44
In 0.3439 0.9297 0.0753  2 Dy 3.07-3.14, 2 Pb 3.08-3.28, 3 In 3.09-3.44
In 0.3544 0.2686 0.4247  2 Dy 3.07-3.14, 2 Pb 3.08-3.28, 3 In 3.09-3.44
In 0.3544 0.5858 0.9297  2 Dy 3.07-3.14, 2 Pb 3.08-3.28, 3 In 3.09-3.44
In 0.4142 0.0703 0.6456  2 Dy 3.07-3.14, 2 Pb 3.08-3.28, 3 In 3.09-3.44
In 0.4142 0.8439 0.7686  2 Dy 3.07-3.14, 2 Pb 3.08-3.28, 3 In 3.09-3.44
In 0.4247 0.3544 0.2686  2 Dy 3.07-3.14, 2 Pb 3.08-3.28, 3 In 3.09-3.44
In 0.4247 0.5703 0.1561  2 Dy 3.07-3.14, 2 Pb 3.08-3.28, 3 In 3.09-3.44
In 0.4297 0.0858 0.8544  2 Dy 3.07-3.14, 2 Pb 3.08-3.28, 3 In 3.09-3.44
In 0.4297 0.8439 0.5753  2 Dy 3.07-3.14, 2 Pb 3.08-3.28, 3 In 3.09-3.44
In 0.5703 0.1561 0.4247  2 Dy 3.07-3.14, 2 Pb 3.08-3.28, 3 In 3.09-3.44
In 0.5703 0.9142 0.1456  2 Dy 3.07-3.14, 2 Pb 3.08-3.28, 3 In 3.09-3.44
In 0.5753 0.4297 0.8439  2 Dy 3.07-3.14, 2 Pb 3.08-3.28, 3 In 3.09-3.44
In 0.5753 0.6456 0.7314  2 Dy 3.07-3.14, 2 Pb 3.08-3.28, 3 In 3.09-3.44
In 0.5858 0.1561 0.2314  2 Dy 3.07-3.14, 2 Pb 3.08-3.28, 3 In 3.09-3.44
In 0.5858 0.9297 0.3544  2 Dy 3.07-3.14, 2 Pb 3.08-3.28, 3 In 3.09-3.44
In 0.6456 0.4142 0.0703  2 Dy 3.07-3.14, 2 Pb 3.08-3.28, 3 In 3.09-3.44
In 0.6456 0.7314 0.5753  2 Dy 3.07-3.14, 2 Pb 3.08-3.28, 3 In 3.09-3.44
In 0.6561 0.0703 0.9247  2 Dy 3.07-3.14, 2 Pb 3.08-3.28, 3 In 3.09-3.44
In 0.6561 0.0858 0.7314  2 Dy 3.07-3.14, 2 Pb 3.08-3.28, 3 In 3.09-3.44
In 0.7314 0.5753 0.6456  2 Dy 3.07-3.14, 2 Pb 3.08-3.28, 3 In 3.09-3.44
In 0.7314 0.6561 0.0858  2 Dy 3.07-3.14, 2 Pb 3.08-3.28, 3 In 3.09-3.44
In 0.7686 0.4142 0.8439  2 Dy 3.07-3.14, 2 Pb 3.08-3.28, 3 In 3.09-3.44
In 0.7686 0.8544 0.9247  2 Dy 3.07-3.14, 2 Pb 3.08-3.28, 3 In 3.09-3.44
In 0.8439 0.5753 0.4297  2 Dy 3.07-3.14, 2 Pb 3.08-3.28, 3 In 3.09-3.44
In 0.8439 0.7686 0.4142  2 Dy 3.07-3.14, 2 Pb 3.08-3.28, 3 In 3.09-3.44
In 0.8544 0.4297 0.0858  2 Dy 3.07-3.14, 2 Pb 3.08-3.28, 3 In 3.09-3.44
In 0.8544 0.9247 0.7686  2 Dy 3.07-3.14, 2 Pb 3.08-3.28, 3 In 3.09-3.44
In 0.9142 0.1456 0.5703  2 Dy 3.07-3.14, 2 Pb 3.08-3.28, 3 In 3.09-3.44
In 0.9142 0.2686 0.3439  2 Dy 3.07-3.14, 2 Pb 3.08-3.28, 3 In 3.09-3.44
In 0.9247 0.6561 0.0703  2 Dy 3.07-3.14, 2 Pb 3.08-3.28, 3 In 3.09-3.44
In 0.9247 0.7686 0.8544  2 Dy 3.07-3.14, 2 Pb 3.08-3.28, 3 In 3.09-3.44
In 0.9297 0.0753 0.3439  2 Dy 3.07-3.14, 2 Pb 3.08-3.28, 3 In 3.09-3.44
In 0.9297 0.3544 0.5858  2 Dy 3.07-3.14, 2 Pb 3.08-3.28, 3 In 3.09-3.44
Pb 0.1250 0.2500 0.3750  8 In 3.08-3.28
Pb 0.1250 0.3750 0.7500  8 In 3.08-3.28
Pb 0.2500 0.3750 0.1250  8 In 3.08-3.28
Pb 0.2500 0.8750 0.6250  8 In 3.08-3.28
Pb 0.3750 0.1250 0.2500  8 In 3.08-3.28
Pb 0.3750 0.7500 0.1250  8 In 3.08-3.28
Pb 0.6250 0.2500 0.8750  8 In 3.08-3.28
Pb 0.6250 0.8750 0.7500  8 In 3.08-3.28
Pb 0.7500 0.1250 0.3750  8 In 3.08-3.28
Pb 0.7500 0.6250 0.8750  8 In 3.08-3.28
Pb 0.8750 0.6250 0.2500  8 In 3.08-3.28
Pb 0.8750 0.7500 0.6250  8 In 3.08-3.28

Output
space group	Ia-3d
final energy	-0.114	hartree per atom
size of the total moment	0.00	μB per formula unit
DFT formation energy	4.91	eV per formula unit
density	6.5	g/cm³

Look up the final energy of the eighth one.
-0.142 hartree per atom